Run i
Al3RuO | PBE | relaxed

Lattice parameters (Å, degrees): 4.634 4.634 4.634 90.00 90.00 90.00
Each line ends with the local moment (μB).
Element x y z (fractional)
Al 0.000 0.500 0.000  0.02
Al 0.500 0.000 0.000  0.01
Al 0.000 0.000 0.500  0.00
O 0.500 0.500 0.500  0.58
Ru 0.000 0.000 0.000  0.01

=====

Run ii
Al3RuO | PBE | relaxed

Lattice parameters (Å, degrees): 3.985 3.985 3.985 90.00 90.00 90.00
Element x y z (fractional)
Al 0.500 0.000 0.000
Al 0.000 0.500 0.000
Ru 0.500 0.500 0.500
Al 0.000 0.000 0.500
O 0.000 0.000 0.000

=====

Most stable: run ii (next structure +951 meV/atom)

=====

Run i
Al2SO | PBE | relaxed

Lattice parameters (Å, degrees): 4.803 4.803 6.441 68.11 68.11 90.00
Element x y z (fractional)
Al 0.535 0.125 0.250
Al 0.375 0.465 0.750
O 0.500 0.500 0.000
O 0.250 0.750 0.500
Al 0.215 0.625 0.250
Al 0.875 0.785 0.750
S 0.750 0.250 0.500
S 0.000 0.000 0.000

=====

Run ii
Al2SO | PBE | relaxed

Lattice parameters (Å, degrees): 4.176 4.176 4.176 60.00 60.00 60.00
Element x y z (fractional)
O 0.000 0.000 0.000
S 0.500 0.500 0.500
Al 0.750 0.750 0.750
Al 0.250 0.250 0.250

=====

Most stable: run i (next structure +689 meV/atom)

=====

Run i
AlS2O2 | PBE | relaxed

Lattice parameters (Å, degrees): 6.200 6.200 3.667 90.00 90.00 90.00
Element x y z (fractional)
O 0.198 0.302 0.500
Al 0.500 0.500 0.000
Al 0.000 0.000 0.000
S 0.836 0.664 0.000
S 0.664 0.164 0.000
O 0.302 0.802 0.500
S 0.336 0.836 0.000
O 0.802 0.698 0.500
O 0.698 0.198 0.500
S 0.164 0.336 0.000

=====

Run ii
AlS2O2 | PBE | relaxed

Lattice parameters (Å, degrees): 4.269 4.269 4.866 63.98 63.98 90.00
Element x y z (fractional)
O 0.250 0.750 0.500
Al 0.000 0.000 0.000
O 0.750 0.250 0.500
S 0.622 0.622 0.755
S 0.378 0.378 0.245

=====

Most stable: run i (next structure +687 meV/atom)